Record 1
Material: Re2PtW
Method: DFT, PBE-GGA
State: relaxed

a = 4.453 Å, b = 4.453 Å, c = 4.453 Å
α = 60.00°, β = 60.00°, γ = 60.00°
Positions (direct):
Re: 0.000 0.000 0.000
Re: 0.250 0.250 0.250
Pt: 0.500 0.500 0.500
W: 0.750 0.750 0.750

Calculated values
The crystal system is cubic. The relative energy among the computed polymorphs comes out at 435 meV per atom. The formation energy is 0.3291 eV/atom.

Record 2
Material: HfTiPS2
Method: DFT, PBE-GGA
State: relaxed

a = 4.511 Å, b = 4.511 Å, c = 4.820 Å
α = 90.00°, β = 90.00°, γ = 90.00°
Positions (direct):
Hf: 0.000 0.000 0.000
Ti: 0.500 0.500 0.500
P: 0.500 0.500 0.000
S: 0.000 0.500 0.500
S: 0.500 0.000 0.500

Calculated values
The crystal system is tetragonal. The relative energy among the computed polymorphs comes out at 0 meV per atom.